No. 1
HfTcI2 | GGA-PBE | relaxed

The structure in CIF format:
```
data_HfTcI2
_symmetry_space_group_name_H-M 'I -4 2 d'
_symmetry_Int_Tables_number 122
_symmetry_space_group_name_Hall 'I -4 2bw'
_cell_length_a 6.370
_cell_length_b 6.370
_cell_length_c 11.662
_cell_angle_alpha 90.00
_cell_angle_beta 90.00
_cell_angle_gamma 90.00
loop_
_atom_site_label
_atom_site_fract_x
_atom_site_fract_y
_atom_site_fract_z
_atom_site_occupancy
Hf1 0.000 0.000 0.000 1
Tc1 0.000 0.000 0.500 1
I1 0.223 0.250 0.625 1
```

Summary:
For the calculated volume, the calculation gives 29.58 A^3/atom. As for the formation energy without anion corrections: 0.977 eV/atom. The distance to the lowest polymorph of the same formula comes out at 317 meV/atom.

***

No. 2
PaTl2In | GGA-PBE | relaxed

The structure in CIF format:
```
data_PaTl2In
_symmetry_space_group_name_H-M 'P 4/m m m'
_symmetry_Int_Tables_number 123
_symmetry_space_group_name_Hall '-P 4 2'
_cell_length_a 4.724
_cell_length_b 4.724
_cell_length_c 4.705
_cell_angle_alpha 90.00
_cell_angle_beta 90.00
_cell_angle_gamma 90.00
loop_
_atom_site_label
_atom_site_fract_x
_atom_site_fract_y
_atom_site_fract_z
_atom_site_occupancy
Pa1 0.000 0.000 0.000 1
Tl1 0.000 0.500 0.500 1
In1 0.500 0.500 0.000 1
```

Summary:
For the calculated volume, the calculation gives 26.25 A^3/atom. The distance to the lowest polymorph of the same formula comes out at 0 meV/atom.

***

No. 3
TaPbCl2 | GGA-PBE | relaxed

The structure in CIF format:
```
data_TaPbCl2
_symmetry_space_group_name_H-M 'I m m m'
_symmetry_Int_Tables_number 71
_symmetry_space_group_name_Hall '-I 2 2'
_cell_length_a 3.086
_cell_length_b 5.492
_cell_length_c 13.233
_cell_angle_alpha 90.00
_cell_angle_beta 90.00
_cell_angle_gamma 90.00
loop_
_atom_site_label
_atom_site_fract_x
_atom_site_fract_y
_atom_site_fract_z
_atom_site_occupancy
Ta1 0.000 0.000 0.000 1
Pb1 0.000 0.000 0.500 1
Cl1 0.000 0.500 0.348 1
```

Summary:
For the calculated volume, the calculation gives 28.04 A^3/atom. As for the formation energy without anion corrections: -0.336 eV/atom. The distance to the lowest polymorph of the same formula comes out at 152 meV/atom.